<one>
Material: LaSm4Dy2
Method: DFT, GGA-PBE
State: relaxed

Geometry as CIF:
```
data_LaSm4Dy2
_cell_length_a 6.1815
_cell_length_b 6.6713
_cell_length_c 11.7197
_cell_angle_alpha 90.00
_cell_angle_beta 103.89
_cell_angle_gamma 90.00
_space_group_name_H-M_alt 'P 1 21/m 1'
_space_group_IT_number 11
loop_
_space_group_symop_operation_xyz
'x,y,z'
'-x,-y,-z'
'-x,y+1/2,-z'
'x,-y+1/2,z'
loop_
_atom_site_label
_atom_site_type_symbol
_atom_site_fract_x
_atom_site_fract_y
_atom_site_fract_z
La1 La 0.0287 0.2500 0.3564
Sm1 Sm 0.1501 0.2500 0.6584
Sm2 Sm 0.2884 0.7500 0.9311
Sm3 Sm 0.3558 0.5074 0.2117
Dy1 Dy 0.1503 0.2500 0.9458
Dy2 Dy 0.4005 0.7500 0.5010
```

DOS at the Fermi energy: 21.96 states/eV/cell
Calculated density: 7.5 g cm⁻³

<two>
Material: LaSm4Dy2
Method: DFT, GGA-PBE
State: relaxed

Geometry as CIF:
```
data_LaSm4Dy2
_cell_length_a 6.5912
_cell_length_b 8.6202
_cell_length_c 8.9149
_cell_angle_alpha 88.34
_cell_angle_beta 82.60
_cell_angle_gamma 70.84
_space_group_name_H-M_alt 'P 1'
_space_group_IT_number 1
loop_
_space_group_symop_operation_xyz
'x,y,z'
loop_
_atom_site_label
_atom_site_type_symbol
_atom_site_fract_x
_atom_site_fract_y
_atom_site_fract_z
La1 La 0.0000 0.0000 0.0000
La2 La 0.4120 0.2045 0.8745
Sm1 Sm 0.0195 0.5568 0.0533
Sm2 Sm 0.1380 0.2109 0.2894
Sm3 Sm 0.1782 0.7621 0.3358
Sm4 Sm 0.4061 0.6335 0.8157
Sm5 Sm 0.5841 0.4034 0.1459
Sm6 Sm 0.7002 0.0531 0.3960
Sm7 Sm 0.8631 0.7860 0.7151
Sm8 Sm 0.8771 0.3378 0.7173
Dy1 Dy 0.2874 0.9766 0.6148
Dy2 Dy 0.3303 0.4159 0.5299
Dy3 Dy 0.5461 0.8526 0.0936
Dy4 Dy 0.7173 0.6249 0.4233
```

DOS at the Fermi energy: 21.89 states/eV/cell
Calculated density: 7.5 g cm⁻³

Short version: <one> is the least stable of them.

<one>
Material: La5Sm12Dy2
Method: DFT, GGA-PBE
State: relaxed

Geometry as CIF:
```
data_La5Sm12Dy2
_cell_length_a 18.2247
_cell_length_b 9.3174
_cell_length_c 8.8842
_cell_angle_alpha 90.00
_cell_angle_beta 117.47
_cell_angle_gamma 90.00
_space_group_name_H-M_alt 'C 1 2/m 1'
_space_group_IT_number 12
loop_
_space_group_symop_operation_xyz
'x,y,z'
'-x,-y,-z'
'-x,y,-z'
'x,-y,z'
'x+1/2,y+1/2,z'
'-x+1/2,-y+1/2,-z'
'-x+1/2,y+1/2,-z'
'x+1/2,-y+1/2,z'
loop_
_atom_site_label
_atom_site_type_symbol
_atom_site_fract_x
_atom_site_fract_y
_atom_site_fract_z
La1 La 0.0000 0.0000 0.0000
La2 La 0.2139 0.5000 0.7262
La3 La 0.2356 0.0000 0.8019
Sm1 Sm 0.0461 0.0000 0.6860
Sm2 Sm 0.0683 0.5000 0.2289
Sm3 Sm 0.1226 0.2842 0.9542
Sm4 Sm 0.1466 0.1822 0.4124
Dy1 Dy 0.0000 0.3274 0.5000
```

DOS at the Fermi energy: 58.46 states/eV/cell
Calculated density: 7.0 g cm⁻³

<two>
Material: La5Sm12Dy2
Method: DFT, GGA-PBE
State: relaxed

Geometry as CIF:
```
data_La5Sm12Dy2
_cell_length_a 5.2176
_cell_length_b 10.2066
_cell_length_c 25.4009
_cell_angle_alpha 90.00
_cell_angle_beta 90.00
_cell_angle_gamma 90.00
_space_group_name_H-M_alt 'I m m m'
_space_group_IT_number 71
_space_group_name_Hall '-I 2 2'
loop_
_atom_site_label
_atom_site_type_symbol
_atom_site_fract_x
_atom_site_fract_y
_atom_site_fract_z
La1 La 0.0000 0.0000 0.0000
La2 La 0.0000 0.0000 0.1979
La3 La 0.0000 0.5000 0.1989
Sm1 Sm 0.0000 0.0000 0.4011
Sm2 Sm 0.0000 0.2474 0.3034
Sm3 Sm 0.0000 0.2574 0.0953
Sm4 Sm 0.0000 0.5000 0.4018
Dy1 Dy 0.0000 0.2597 0.5000
```

DOS at the Fermi energy: 70.35 states/eV/cell
Calculated density: 6.9 g cm⁻³

Short version: <one> is the least stable of them.